VASP calculation (PBE) on an optimized crystal structure of In2FeSi.

## Properties
Size of the total moment ... 0.583 μB per atom
Formation energy without anion corrections ... 0.45 eV/atom
Calculated volume ... 18.6 A^3/atom

Unit cell a=3.005 b=3.005 c=8.248 alpha=90.00 beta=90.00 gamma=90.00
Each line ends with the local moment (μB).
Positions (direct):
Fe 0.500 0.500 0.750  2.46
In 0.000 0.000 0.979  -0.04
In 0.000 0.000 0.521  -0.04
Si 0.500 0.500 0.250  -0.01

***

VASP calculation (PBE) on an optimized crystal structure of V8Ga3Ge2.

## Properties
DFT formation energy ... 0.08 eV per atom
Size of the total moment ... 0.000 μB per atom
Calculated volume ... 15.1 A^3/atom

Unit cell a=3.963 b=6.348 c=8.409 alpha=112.12 beta=90.00 gamma=90.00
Positions (direct):
V 0.000 0.656 0.313
V 0.000 0.344 0.687
V 0.000 0.135 0.271
V 0.000 0.865 0.729
V 0.500 0.611 0.763
V 0.500 0.153 0.763
V 0.500 0.847 0.237
V 0.500 0.389 0.237
Ga 0.500 0.000 0.000
Ga 0.000 0.297 0.000
Ga 0.000 0.703 0.000
Ge 0.500 0.240 0.481
Ge 0.500 0.760 0.519